{
  "formula": "Ni15O16",
  "functional": "PBE+U",
  "state": "relaxed",
  "e_tot_ev_per_cell": -148.8,
  "polymorph_energy_mev_per_atom": 0.0,
  "volume_a3_per_atom": 9.60,
  "lattice_angstrom": [[7.2838, 0.0000, 0.0000], [-2.4279, 6.8673, 0.0000], [-2.4279, -3.4336, 5.9472]],
  "species": ["Ni", "Ni", "Ni", "Ni", "Ni", "Ni", "Ni", "Ni", "Ni", "Ni", "Ni", "Ni", "Ni", "Ni", "Ni", "O", "O", "O", "O", "O", "O", "O", "O", "O", "O", "O", "O", "O", "O", "O", "O"],
  "fractional_positions": [[0.2463, 0.7537, 0.0000], [0.5000, 0.5000, 0.0000], [0.4927, 0.2463, 0.2463], [0.7537, 0.0000, 0.2463], [0.0000, 0.7537, 0.2463], [0.0000, 0.5000, 0.5000], [0.2463, 0.4927, 0.2463], [0.2463, 0.2463, 0.4927], [0.5000, 0.0000, 0.5000], [0.5073, 0.7537, 0.7537], [0.7537, 0.7537, 0.5073], [0.7537, 0.5073, 0.7537], [0.0000, 0.2463, 0.7537], [0.2463, 0.0000, 0.7537], [0.7537, 0.2463, 0.0000], [0.7318, 0.7318, 0.0000], [0.0000, 0.5000, 0.0000], [0.0000, 0.2682, 0.2682], [0.2682, 0.2682, 0.0000], [0.2682, 0.0000, 0.2682], [0.5000, 0.7500, 0.2500], [0.5000, 0.5000, 0.5000], [0.7500, 0.5000, 0.2500], [0.7500, 0.2500, 0.5000], [0.0000, 0.0000, 0.5000], [0.0000, 0.7318, 0.7318], [0.2500, 0.7500, 0.5000], [0.2500, 0.5000, 0.7500], [0.5000, 0.2500, 0.7500], [0.5000, 0.0000, 0.0000], [0.7318, 0.0000, 0.7318]]
}